Computed, not measured: a relaxed structure of Pm2ThSb2Te2 at the GGA-PBE level of DFT.

Lattice parameters (Å, degrees): 5.9833 5.9833 8.8171 109.83 109.83 90.00
Last column: nearest neighbours and their distance in Å.
Positions (direct):
1 Pm 0.3872 0.3872 0.7743  1 Te 2.93
2 Pm 0.6128 0.6128 0.2257  1 Te 2.93
3 Th 0.0000 0.0000 0.0000  4 Sb 2.99, 2 Te 3.06
4 Sb 0.0000 0.5000 0.0000  2 Th 2.99
5 Sb 0.5000 0.0000 0.0000  2 Th 2.99
6 Te 0.1981 0.1981 0.3961  1 Pm 2.93, 1 Th 3.06
7 Te 0.8019 0.8019 0.6039  1 Pm 2.93, 1 Th 3.06

## Properties
**Formation energy without anion corrections**: -0.71 eV/atom

=====

Computed, not measured: a relaxed structure of PmTl2SbTe4 at the GGA-PBE level of DFT.

Lattice parameters (Å, degrees): 4.5170 7.8819 8.4783 107.96 90.00 90.00
Last column: nearest neighbours and their distance in Å.
Positions (direct):
1 Pm 0.5000 0.5000 0.0000  6 Te 3.17
2 Tl 0.5000 0.0000 0.5000  6 Te 3.45-3.46
3 Tl 0.0000 0.5000 0.5000  6 Te 3.50-3.51
4 Sb 0.0000 0.0000 0.0000  6 Te 3.12
5 Te 0.5000 0.2336 0.2147  2 Sb 3.12, 1 Pm 3.17, 1 Tl 3.46
6 Te 0.5000 0.7664 0.7853  2 Sb 3.12, 1 Pm 3.17, 1 Tl 3.46
7 Te 0.0000 0.2552 0.7831  1 Sb 3.12, 2 Pm 3.17, 2 Tl 3.45
8 Te 0.0000 0.7448 0.2169  1 Sb 3.12, 2 Pm 3.17, 2 Tl 3.45

## Properties
**Formation energy without anion corrections**: -0.64 eV/atom

=====

Computed, not measured: a relaxed structure of Pm4TlSb2Te at the GGA-PBE level of DFT.

Lattice parameters (Å, degrees): 4.4389 7.7394 7.8811 71.15 90.00 90.00
Last column: nearest neighbours and their distance in Å.
Positions (direct):
1 Pm 0.0000 0.7569 0.7448  3 Sb 3.14-3.17, 1 Te 3.19, 2 Tl 3.22
2 Pm 0.0000 0.2431 0.2552  3 Sb 3.14-3.17, 1 Te 3.19, 2 Tl 3.22
3 Pm 0.5000 0.7571 0.2469  3 Sb 3.14-3.15, 1 Tl 3.20, 2 Te 3.21
4 Pm 0.5000 0.2429 0.7531  3 Sb 3.14-3.15, 1 Tl 3.20, 2 Te 3.21
5 Tl 0.5000 0.5000 0.0000  6 Pm 3.20-3.22
6 Sb 0.0000 0.0000 0.0000  6 Pm 3.14-3.17
7 Sb 0.5000 0.0000 0.5000  6 Pm 3.14-3.15
8 Te 0.0000 0.5000 0.5000  6 Pm 3.19-3.21

## Properties
**Formation energy without anion corrections**: -1.03 eV/atom

=====

Computed, not measured: a relaxed structure of PmTl3Sb2Te6 at the GGA-PBE level of DFT.

Lattice parameters (Å, degrees): 7.8337 7.8337 8.4301 98.92 98.92 119.95
Last column: nearest neighbours and their distance in Å.
Positions (direct):
1 Pm 0.0000 0.0000 0.0000  6 Te 3.17-3.18
2 Tl 0.1632 0.8368 0.5000  6 Te 3.45-3.48
3 Tl 0.8368 0.1632 0.5000  6 Te 3.45-3.48
4 Tl 0.5000 0.5000 0.5000  6 Te 3.44-3.48
5 Sb 0.3335 0.6665 0.0000  6 Te 3.09-3.12
6 Sb 0.6665 0.3335 0.0000  6 Te 3.09-3.12
7 Te 0.9272 0.5874 0.7832  2 Sb 3.11-3.12, 1 Pm 3.18, 3 Tl 3.45-3.48
8 Te 0.7306 0.7306 0.2128  2 Sb 3.09, 1 Pm 3.17, 1 Tl 3.44
9 Te 0.0728 0.4126 0.2168  2 Sb 3.11-3.12, 1 Pm 3.18, 3 Tl 3.45-3.48
10 Te 0.5874 0.9272 0.7832  2 Sb 3.11-3.12, 1 Pm 3.18, 3 Tl 3.45-3.48
11 Te 0.2694 0.2694 0.7872  2 Sb 3.09, 1 Pm 3.17, 1 Tl 3.44
12 Te 0.4126 0.0728 0.2168  2 Sb 3.11-3.12, 1 Pm 3.18, 3 Tl 3.45-3.48

## Properties
**Formation energy without anion corrections**: -0.50 eV/atom

=====

Computed, not measured: a relaxed structure of Pm6Tl2SbTe3 at the GGA-PBE level of DFT.

Lattice parameters (Å, degrees): 4.3930 9.1768 10.1440 105.79 102.51 90.00
Last column: nearest neighbours and their distance in Å.
Positions (direct):
1 Pm 0.3347 0.9112 0.6694  1 Sb 3.15, 3 Te 3.17-3.25, 2 Tl 3.19
2 Pm 0.6645 0.5916 0.3290  3 Te 3.13-3.16, 3 Tl 3.16-3.18
3 Pm 0.6653 0.0888 0.3306  1 Sb 3.15, 3 Te 3.17-3.25, 2 Tl 3.19
4 Pm 0.0028 0.2455 0.0056  2 Sb 3.14, 1 Tl 3.18, 3 Te 3.19-3.22
5 Pm 0.9972 0.7545 0.9944  2 Sb 3.14, 1 Tl 3.18, 3 Te 3.19-3.22
6 Pm 0.3355 0.4084 0.6710  3 Te 3.13-3.16, 3 Tl 3.16-3.18
7 Tl 0.8299 0.6560 0.6598  6 Pm 3.16-3.19
8 Tl 0.1701 0.3440 0.3402  6 Pm 3.16-3.19
9 Sb 0.5000 0.0000 0.0000  6 Pm 3.14-3.15
10 Te 0.5000 0.5000 0.0000  6 Pm 3.13-3.22
11 Te 0.8354 0.1603 0.6707  6 Pm 3.16-3.25
12 Te 0.1646 0.8397 0.3293  6 Pm 3.16-3.25

## Properties
**Formation energy without anion corrections**: -1.03 eV/atom

=====

Computed, not measured: a relaxed structure of PmTmSbTe at the GGA-PBE level of DFT.

Lattice parameters (Å, degrees): 4.3972 4.3972 7.6575 73.31 73.31 60.00
Last column: nearest neighbours and their distance in Å.
Positions (direct):
1 Pm 0.6036 0.6036 0.1893  3 Sb 3.12, 3 Te 3.22
2 Tm 0.1111 0.1111 0.6667  3 Sb 3.02, 3 Te 3.11
3 Sb 0.8533 0.8533 0.4401  3 Tm 3.02, 3 Pm 3.12
4 Te 0.3614 0.3614 0.9158  3 Tm 3.11, 3 Pm 3.22

## Properties
**Formation energy without anion corrections**: -1.26 eV/atom

=====

Computed, not measured: a relaxed structure of PmYSbTe at the GGA-PBE level of DFT.

Lattice parameters (Å, degrees): 4.4317 4.4317 7.6900 73.25 73.25 60.00
Last column: nearest neighbours and their distance in Å.
Positions (direct):
1 Pm 0.9405 0.9405 0.1784  3 Sb 3.12, 3 Te 3.21
2 Y 0.4477 0.4477 0.6570  3 Sb 3.06, 3 Te 3.15
3 Sb 0.1917 0.1917 0.4250  3 Y 3.06, 3 Pm 3.12
4 Te 0.6966 0.6966 0.9103  3 Y 3.15, 3 Pm 3.21

## Properties
**Formation energy without anion corrections**: -1.31 eV/atom

=====

Computed, not measured: a relaxed structure of PmZrSbTe at the GGA-PBE level of DFT.

Lattice parameters (Å, degrees): 5.2680 5.2680 5.2680 60.00 60.00 60.00
Last column: nearest neighbours and their distance in Å.
Positions (direct):
1 Sb 0.7500 0.7500 0.7500  4 Zr 3.23, 4 Pm 3.23
2 Te 0.2500 0.2500 0.2500  4 Pm 3.23, 4 Zr 3.23
3 Zr 0.5000 0.5000 0.5000  4 Te 3.23, 4 Sb 3.23
4 Pm 0.0000 0.0000 0.0000  4 Sb 3.23, 4 Te 3.23

## Properties
**Formation energy without anion corrections**: -0.78 eV/atom

=====

Computed, not measured: a relaxed structure of PmTh2Sb3 at the GGA-PBE level of DFT.

Lattice parameters (Å, degrees): 4.4928 6.3643 7.8086 114.05 106.72 90.00
Last column: nearest neighbours and their distance in Å.
Positions (direct):
1 Pm 0.5000 0.5000 0.5000  6 Sb 3.18
2 Th 0.8338 0.8338 0.1675  6 Sb 3.18-3.19
3 Th 0.1662 0.1662 0.8325  6 Sb 3.18-3.19
4 Sb 0.8338 0.3338 0.1677  2 Pm 3.18, 4 Th 3.18-3.19
5 Sb 0.1662 0.6662 0.8323  2 Pm 3.18, 4 Th 3.18-3.19
6 Sb 0.5000 0.0000 0.5000  4 Th 3.18, 2 Pm 3.18

## Properties
**Formation energy without anion corrections**: -1.01 eV/atom

=====

Computed, not measured: a relaxed structure of Pm3Th4Sb8 at the GGA-PBE level of DFT.

Lattice parameters (Å, degrees): 8.9943 8.9727 8.9727 90.20 119.87 119.87
Last column: nearest neighbours and their distance in Å.
Positions (direct):
1 Pm 0.5000 0.5000 0.0000  6 Sb 3.17-3.19
2 Pm 0.5000 0.0000 0.5000  6 Sb 3.17-3.19
3 Pm 0.5000 0.5000 0.5000  6 Sb 3.17-3.19
4 Th 0.5000 0.0000 0.0000  6 Sb 3.15-3.19
5 Th 0.0000 0.5000 0.0000  6 Sb 3.17-3.19
6 Th 0.0000 0.0000 0.0000  6 Sb 3.21-3.24
7 Th 0.0000 0.0000 0.5000  6 Sb 3.17-3.19
8 Sb 0.5043 0.2512 0.2512  2 Th 3.15-3.21, 3 Pm 3.18
9 Sb 0.0000 0.7462 0.2538  3 Th 3.17-3.23, 2 Pm 3.19
10 Sb 0.9994 0.2551 0.2551  4 Th 3.18-3.24, 1 Pm 3.19
11 Sb 0.5000 0.7492 0.2508  3 Pm 3.17, 3 Th 3.19
12 Sb 0.5000 0.2508 0.7492  3 Pm 3.17, 3 Th 3.19
13 Sb 0.0006 0.7449 0.7449  4 Th 3.18-3.24, 1 Pm 3.19
14 Sb 0.0000 0.2538 0.7462  3 Th 3.17-3.23, 2 Pm 3.19
15 Sb 0.4957 0.7488 0.7488  2 Th 3.15-3.21, 3 Pm 3.18

## Properties
**Formation energy without anion corrections**: -0.92 eV/atom

=====

Computed, not measured: a relaxed structure of PmTh4Sb5 at the GGA-PBE level of DFT.

Lattice parameters (Å, degrees): 4.5054 4.5054 16.2283 97.98 97.98 90.00
Last column: nearest neighbours and their distance in Å.
Positions (direct):
1 Pm 0.0000 0.0000 0.0000  6 Sb 3.16-3.19
2 Th 0.4004 0.4004 0.8008  6 Sb 3.17-3.19
3 Th 0.7998 0.7998 0.5997  6 Sb 3.19-3.21
4 Th 0.2002 0.2002 0.4003  6 Sb 3.19-3.21
5 Th 0.5996 0.5996 0.1992  6 Sb 3.17-3.19
6 Sb 0.0994 0.0994 0.1989  1 Pm 3.16, 5 Th 3.19-3.21
7 Sb 0.5000 0.5000 0.0000  2 Th 3.17, 4 Pm 3.19
8 Sb 0.9006 0.9006 0.8011  1 Pm 3.16, 5 Th 3.19-3.21
9 Sb 0.3003 0.3003 0.6006  6 Th 3.19
10 Sb 0.6997 0.6997 0.3994  6 Th 3.19

## Properties
**Formation energy without anion corrections**: -0.97 eV/atom

=====

Computed, not measured: a relaxed structure of Pm5Th3Sb8 at the GGA-PBE level of DFT.

Lattice parameters (Å, degrees): 9.0021 9.0021 8.9924 59.96 59.96 60.00
Last column: nearest neighbours and their distance in Å.
Positions (direct):
1 Pm 0.5000 0.0000 0.0000  6 Sb 3.18
2 Pm 0.5000 0.5000 0.0000  6 Sb 3.18
3 Pm 0.0000 0.0000 0.0000  6 Sb 3.18
4 Pm 0.0000 0.5000 0.0000  6 Sb 3.18
5 Pm 0.5000 0.5000 0.5000  6 Sb 3.18
6 Th 0.5000 0.0000 0.5000  6 Sb 3.18-3.19
7 Th 0.0000 0.0000 0.5000  6 Sb 3.18-3.19
8 Th 0.0000 0.5000 0.5000  6 Sb 3.18-3.19
9 Sb 0.2500 0.2500 0.7501  4 Pm 3.18, 2 Th 3.18
10 Sb 0.2500 0.7498 0.7501  4 Pm 3.18, 2 Th 3.18
11 Sb 0.7498 0.2500 0.7501  4 Pm 3.18, 2 Th 3.18
12 Sb 0.7496 0.7496 0.7512  3 Pm 3.18, 3 Th 3.19
13 Sb 0.7500 0.7500 0.2499  4 Pm 3.18, 2 Th 3.18
14 Sb 0.7500 0.2502 0.2499  4 Pm 3.18, 2 Th 3.18
15 Sb 0.2502 0.7500 0.2499  4 Pm 3.18, 2 Th 3.18
16 Sb 0.2504 0.2504 0.2488  3 Pm 3.18, 3 Th 3.19

## Properties
**Formation energy without anion corrections**: -1.10 eV/atom